i:
This record from Alexandria via LeMat-Bulk describes KYHg2 after structural relaxation. The functional is PBE.

Values from the calculation:
For the size of the total moment, the calculation gives 0.0 μB per formula unit. The density of states at the Fermi level comes out at 0.527 states/eV per atom.

Lattice parameters (Å, degrees): 7.7008 7.7008 7.7008 90.00 90.00 90.00
Space group Fm-3m (No. 225)
Asymmetric unit:
1 K 0.0000 0.0000 0.0000 x4
2 Y 0.0000 0.0000 0.5000 x4
3 Hg 0.2500 0.2500 0.2500 x8

ii:
This record from Alexandria via LeMat-Bulk describes KYHg2 after structural relaxation. The functional is PBE.

Values from the calculation:
For the size of the total moment, the calculation gives 0.0 μB per formula unit. The density of states at the Fermi level comes out at 0.903 states/eV per atom.

Lattice parameters (Å, degrees): 3.7610 3.8694 8.3254 90.00 90.14 90.00
Space group P2/m (No. 10)
Asymmetric unit:
1 K 0.0000 0.0000 0.0000 x1
2 Y 0.0000 0.0000 0.5000 x1
3 Hg 0.4993 0.5000 0.2974 x2

iii:
This record from Alexandria via LeMat-Bulk describes KYHg2 after structural relaxation. The functional is PBE.

Values from the calculation:
For the size of the total moment, the calculation gives 0.0 μB per formula unit. The density of states at the Fermi level comes out at 0.233 states/eV per atom.

Lattice parameters (Å, degrees): 7.4441 7.4441 7.4441 90.00 90.00 90.00
Space group F-43m (No. 216)
Asymmetric unit:
1 K 0.0000 0.0000 0.0000 x4
2 Y 0.2500 0.2500 0.7500 x4
3 Hg 0.0000 0.0000 0.5000 x4
4 Hg 0.2500 0.2500 0.2500 x4

Ordering by calculated energy gives the sequence ii, i, iii, with the first entry being the most stable.

i:
This record from Alexandria via LeMat-Bulk describes KYHg2 after structural relaxation. The functional is PBE.

Values from the calculation:
For the size of the total moment, the calculation gives 0.0 μB per formula unit. The density of states at the Fermi level comes out at 0.723 states/eV per atom.

Lattice parameters (Å, degrees): 3.6287 5.4569 11.7906 90.00 90.00 90.00
Space group Imm2 (No. 44)
Asymmetric unit:
1 K 0.0000 0.0000 0.0000 x2
2 Y 0.0000 0.5000 0.7925 x2
3 Hg 0.0000 0.0000 0.5154 x2
4 Hg 0.0000 0.5000 0.2353 x2

ii:
This record from Alexandria via LeMat-Bulk describes KYHg2 after structural relaxation. The functional is PBE.

Values from the calculation:
For the size of the total moment, the calculation gives 0.0 μB per formula unit. The density of states at the Fermi level comes out at 0.676 states/eV per atom.

Lattice parameters (Å, degrees): 4.0299 4.0299 28.3213 90.00 90.00 120.00
Space group R-3m (No. 166, hexagonal axes)
Asymmetric unit:
1 K 0.0000 0.0000 0.0000 x3
2 Y 0.0000 0.0000 0.5000 x3
3 Hg 0.0000 0.0000 0.2376 x6

Ordering by calculated energy gives the sequence ii, i, with the first entry being the most stable.

i:
This record from Alexandria via LeMat-Bulk describes KYHg2 after structural relaxation. The functional is PBE.

Values from the calculation:
For the size of the total moment, the calculation gives 0.0 μB per formula unit. The density of states at the Fermi level comes out at 0.919 states/eV per atom.

Lattice parameters (Å, degrees): 12.1566 3.6147 5.4330 90.00 90.08 90.00
Space group Cm (No. 8)
Asymmetric unit:
1 K 0.0000 0.0000 0.0000 x2
2 Y 0.2257 0.5000 0.4999 x2
3 Hg 0.2615 0.0000 0.9997 x2
4 Hg 0.4445 0.0000 0.4997 x2

ii:
This record from Alexandria via LeMat-Bulk describes KYHg2 after structural relaxation. The functional is PBE.

Values from the calculation:
For the size of the total moment, the calculation gives 0.0 μB per formula unit. The density of states at the Fermi level comes out at 0.628 states/eV per atom.

Lattice parameters (Å, degrees): 8.5156 8.5156 7.6005 90.00 90.00 90.00
Space group I-42d (No. 122)
Asymmetric unit:
1 K 0.0000 0.0000 0.0000 x4
2 Y 0.0000 0.0000 0.5000 x4
3 Hg 0.2213 0.2500 0.6250 x8

iii:
This record from Alexandria via LeMat-Bulk describes KYHg2 after structural relaxation. The functional is PBE.

Values from the calculation:
For the size of the total moment, the calculation gives 0.0 μB per formula unit. The density of states at the Fermi level comes out at 0.996 states/eV per atom.

Lattice parameters (Å, degrees): 4.6073 4.6073 10.9804 90.00 90.00 90.00
Space group I-4m2 (No. 119)
Asymmetric unit:
1 K 0.0000 0.0000 0.0000 x2
2 Y 0.0000 0.5000 0.7500 x2
3 Hg 0.0000 0.0000 0.5000 x2
4 Hg 0.0000 0.5000 0.2500 x2

Ordering by calculated energy gives the sequence i, iii, ii, with the first entry being the most stable.

i:
This record from Alexandria via LeMat-Bulk describes KZnHg after structural relaxation. The functional is PBE.

Values from the calculation:
For the size of the total moment, the calculation gives 0.0 μB per formula unit. The density of states at the Fermi level comes out at 0.627 states/eV per atom.

Lattice parameters (Å, degrees): 7.8455 7.8455 7.8455 90.00 90.00 90.00
Space group F-43m (No. 216)
Asymmetric unit:
1 K 0.0000 0.0000 0.0000 x4
2 Zn 0.2500 0.2500 0.2500 x4
3 Hg 0.2500 0.2500 0.7500 x4

ii:
This record from Alexandria via LeMat-Bulk describes KZnHg after structural relaxation. The functional is PBE.

Values from the calculation:
For the size of the total moment, the calculation gives 0.0 μB per formula unit. The density of states at the Fermi level comes out at 0.452 states/eV per atom.

Lattice parameters (Å, degrees): 5.4383 5.4524 12.0125 90.00 90.00 90.00
Space group Fmm2 (No. 42)
Asymmetric unit:
1 K 0.0000 0.0000 0.0000 x4
2 Zn 0.0000 0.0000 0.2931 x4
3 Hg 0.0000 0.0000 0.7060 x4

Ordering by calculated energy gives the sequence ii, i, with the first entry being the most stable.

i:
This record from Alexandria via LeMat-Bulk describes KZnHg after structural relaxation. The functional is PBE.

Values from the calculation:
For the size of the total moment, the calculation gives 0.0 μB per formula unit. The density of states at the Fermi level comes out at 0.802 states/eV per atom.

Lattice parameters (Å, degrees): 4.8183 4.8183 4.6794 90.00 90.00 120.00
Space group P-6m2 (No. 187)
Asymmetric unit:
1 K 0.0000 0.0000 0.0000 x1
2 Zn 0.6667 0.3333 0.5000 x1
3 Hg 0.3333 0.6667 0.5000 x1

ii:
This record from Alexandria via LeMat-Bulk describes KZnHg after structural relaxation. The functional is PBE.

Values from the calculation:
For the size of the total moment, the calculation gives 0.0 μB per formula unit. The density of states at the Fermi level comes out at 0.424 states/eV per atom.

Lattice parameters (Å, degrees): 10.4756 13.0395 7.6597 90.00 90.00 90.00
Space group Ima2 (No. 46)
Asymmetric unit:
1 K 0.2500 0.0001 0.0000 x4
2 K 0.2500 0.2186 0.6594 x4
3 K 0.2500 0.7191 0.1603 x4
4 Zn 0.0000 0.0000 0.6505 x4
5 Zn 0.0003 0.1057 0.3315 x8
6 Hg 0.0000 0.1674 0.9398 x8
7 Hg 0.2500 0.9996 0.4342 x4

iii:
This record from Alexandria via LeMat-Bulk describes KZnHg after structural relaxation. The functional is PBE.

Values from the calculation:
For the size of the total moment, the calculation gives 0.0 μB per formula unit. The density of states at the Fermi level comes out at 0.688 states/eV per atom.

Lattice parameters (Å, degrees): 7.4308 7.4308 7.4308 90.00 90.00 90.00
Space group F-43m (No. 216)
Asymmetric unit:
1 K 0.0000 0.0000 0.0000 x4
2 Zn 0.2500 0.2500 0.2500 x4
3 Hg 0.0000 0.0000 0.5000 x4

Ordering by calculated energy gives the sequence i, ii, iii, with the first entry being the most stable.